Entry 1:
! Y4Zr2Co3N3, relaxed, DFT PBE; values from VASP
&SYSTEM
  ibrav = 0, nat = 24, ntyp = 4
/
ATOMIC_SPECIES
Co 58.93 Co.upf
N 14.01 N.upf
Y 88.91 Y.upf
Zr 91.22 Zr.upf
ATOMIC_POSITIONS crystal
Co 0.5804 0.1805 0.2496
Co 0.3435 0.6565 0.2500
Co 0.8195 0.4196 0.2504
Co 0.1805 0.5804 0.7496
Co 0.6565 0.3435 0.7500
Co 0.4196 0.8195 0.7504
N 0.5000 0.0000 0.0000
N 0.8223 0.3389 0.0003
N 0.6611 0.1777 0.4997
N 0.0000 0.5000 0.5000
N 0.3389 0.8223 0.5003
N 0.1777 0.6611 0.9997
Y 0.1960 0.0414 0.1088
Y 0.8757 0.7021 0.1090
Y 0.2979 0.1243 0.3910
Y 0.9586 0.8040 0.3912
Y 0.0414 0.1960 0.6088
Y 0.7021 0.8757 0.6090
Y 0.1243 0.2979 0.8910
Y 0.8040 0.9586 0.8912
Zr 0.5268 0.3526 0.0828
Zr 0.6474 0.4732 0.4172
Zr 0.3526 0.5268 0.5828
Zr 0.4732 0.6474 0.9172
CELL_PARAMETERS angstrom
5.0607 -2.9120 0.0000
5.0607 2.9120 0.0000
-3.3890 0.0000 13.7526
! Symmetry ... C2/c, No. 15
! E ... -8.1489 eV/atom

***

Entry 2:
! Lu2Nb4Bi3C3, relaxed, DFT PBE; values from VASP
&SYSTEM
  ibrav = 0, nat = 24, ntyp = 4
/
ATOMIC_SPECIES
Bi 208.98 Bi.upf
C 12.01 C.upf
Lu 174.97 Lu.upf
Nb 92.91 Nb.upf
ATOMIC_POSITIONS crystal
Bi 0.2237 0.4164 0.2489
Bi 0.9396 0.0604 0.2500
Bi 0.5836 0.7763 0.2511
Bi 0.4164 0.2237 0.7489
Bi 0.0604 0.9396 0.7500
Bi 0.7763 0.5836 0.7511
C 0.5000 0.0000 0.0000
C 0.8414 0.3294 0.0000
C 0.1586 0.6706 0.0000
C 0.3294 0.8414 0.5000
C 0.0000 0.5000 0.5000
C 0.6706 0.1586 0.5000
Lu 0.5302 0.3714 0.0917
Lu 0.6286 0.4698 0.4083
Lu 0.3714 0.5302 0.5917
Lu 0.4698 0.6286 0.9083
Nb 0.1967 0.0198 0.0730
Nb 0.8518 0.6926 0.0731
Nb 0.3074 0.1482 0.4269
Nb 0.9802 0.8033 0.4270
Nb 0.0198 0.1967 0.5730
Nb 0.6926 0.8518 0.5731
Nb 0.1482 0.3074 0.9269
Nb 0.8033 0.9802 0.9270
CELL_PARAMETERS angstrom
-2.1029 5.5795 0.3755
-5.2562 1.3408 -2.5037
-4.1161 -5.5808 12.7238
! Symmetry ... C2/c, No. 15
! E ... -7.8020 eV/atom

***

Entry 3:
! LiYNiGe, relaxed, DFT PBE; values from VASP
&SYSTEM
  ibrav = 0, nat = 4, ntyp = 4
/
ATOMIC_SPECIES
Ge 72.64 Ge.upf
Li 6.94 Li.upf
Ni 58.69 Ni.upf
Y 88.91 Y.upf
ATOMIC_POSITIONS crystal
Ge 0.0000 0.0000 0.0000
Li 0.7500 0.7500 0.7500
Ni 0.5000 0.5000 0.5000
Y 0.2500 0.2500 0.2500
CELL_PARAMETERS angstrom
0.0000 3.2722 3.2722
3.2722 0.0000 3.2722
3.2722 3.2722 0.0000
! Symmetry ... F-43m, No. 216
! E ... -4.9754 eV/atom

***

Entry 4:
! KSmSc, relaxed, DFT PBE; values from VASP
&SYSTEM
  ibrav = 0, nat = 3, ntyp = 3
/
ATOMIC_SPECIES
K 39.10 K.upf
Sc 44.96 Sc.upf
Sm 150.36 Sm.upf
ATOMIC_POSITIONS crystal
K 0.2500 0.2500 0.2500
Sc 0.0000 0.0000 0.0000
Sm 0.7500 0.7500 0.7500
CELL_PARAMETERS angstrom
0.6689 -5.7068 -0.4055
-3.2761 -3.0323 -3.6402
2.3299 -2.2971 -4.7407
! Symmetry ... F-43m, No. 216
! E ... -2.8873 eV/atom

***

Entry 5:
! YReGe, relaxed, DFT PBE; values from VASP
&SYSTEM
  ibrav = 0, nat = 3, ntyp = 3
/
ATOMIC_SPECIES
Ge 72.64 Ge.upf
Re 186.21 Re.upf
Y 88.91 Y.upf
ATOMIC_POSITIONS crystal
Ge 0.0000 0.0000 0.0000
Re 0.2500 0.2500 0.2500
Y 0.7500 0.7500 0.7500
CELL_PARAMETERS angstrom
2.9002 -3.1471 -1.2373
0.8345 -3.4450 2.6984
-1.4545 -4.0721 -1.0716
! Symmetry ... F-43m, No. 216
! E ... -7.6318 eV/atom

***

Entry 6:
! TmInTe3Pb, relaxed, DFT PBE; values from VASP
&SYSTEM
  ibrav = 0, nat = 12, ntyp = 4
/
ATOMIC_SPECIES
In 114.82 In.upf
Pb 207.20 Pb.upf
Te 127.60 Te.upf
Tm 168.93 Tm.upf
ATOMIC_POSITIONS crystal
In 0.0403 0.9597 0.2500
In 0.9597 0.0403 0.7500
Pb 0.7385 0.2615 0.2500
Pb 0.2615 0.7385 0.7500
Te 0.1449 0.8551 0.0257
Te 0.4005 0.5995 0.2500
Te 0.1449 0.8551 0.4743
Te 0.8551 0.1449 0.5257
Te 0.5995 0.4005 0.7500
Te 0.8551 0.1449 0.9743
Tm 0.5000 0.5000 0.0000
Tm 0.5000 0.5000 0.5000
CELL_PARAMETERS angstrom
1.6227 2.3130 -7.2790
-5.4188 -2.5523 5.0089
-2.3747 10.6350 2.8501
! Symmetry ... Cmcm, No. 63
! E ... -3.9414 eV/atom

***

Entry 7:
! MgZn2Cu5, relaxed, DFT PBE; values from VASP
&SYSTEM
  ibrav = 0, nat = 8, ntyp = 3
/
ATOMIC_SPECIES
Cu 63.55 Cu.upf
Mg 24.30 Mg.upf
Zn 65.41 Zn.upf
ATOMIC_POSITIONS crystal
Cu 0.5000 0.5000 0.0000
Cu 0.5000 0.0000 0.2386
Cu 0.0000 0.5000 0.2386
Cu 0.5000 0.0000 0.7614
Cu 0.0000 0.5000 0.7614
Mg 0.0000 0.0000 0.5000
Zn 0.0000 0.0000 0.0000
Zn 0.5000 0.5000 0.5000
CELL_PARAMETERS angstrom
-1.5004 1.3593 -3.6572
0.4836 -3.8233 -1.6194
-5.5075 -1.4288 1.7284
! Symmetry ... P4/mmm, No. 123
! E ... -2.8998 eV/atom

***

Entry 8:
! YPdPbS3, relaxed, DFT PBE; values from VASP
&SYSTEM
  ibrav = 0, nat = 12, ntyp = 4
/
ATOMIC_SPECIES
Pb 207.20 Pb.upf
Pd 106.42 Pd.upf
S 32.06 S.upf
Y 88.91 Y.upf
ATOMIC_POSITIONS crystal
Pb 0.7297 0.2703 0.2500
Pb 0.2703 0.7297 0.7500
Pd 0.0290 0.9710 0.2500
Pd 0.9710 0.0290 0.7500
S 0.1416 0.8584 0.0582
S 0.4200 0.5800 0.2500
S 0.1416 0.8584 0.4418
S 0.8584 0.1416 0.5582
S 0.5800 0.4200 0.7500
S 0.8584 0.1416 0.9418
Y 0.5000 0.5000 0.0000
Y 0.5000 0.5000 0.5000
CELL_PARAMETERS angstrom
1.9185 -6.6890 0.0000
1.9185 6.6890 0.0000
0.0000 0.0000 10.3964
! Symmetry ... Cmcm, No. 63
! E ... -5.6394 eV/atom

***

Entry 9:
! Na2Lu3Te4I3O12, relaxed, DFT PBE; values from VASP
&SYSTEM
  ibrav = 0, nat = 48, ntyp = 5
/
ATOMIC_SPECIES
I 126.90 I.upf
Lu 174.97 Lu.upf
Na 22.99 Na.upf
O 16.00 O.upf
Te 127.60 Te.upf
ATOMIC_POSITIONS crystal
I 0.5062 0.7564 0.0833
I 0.5000 0.2599 0.2500
I 0.4938 0.7564 0.4167
I 0.5062 0.2436 0.5833
I 0.5000 0.7401 0.7500
I 0.4938 0.2436 0.9167
Lu 0.9997 0.7455 0.0842
Lu 0.0000 0.2447 0.2500
Lu 0.0003 0.7455 0.4158
Lu 0.9997 0.2545 0.5842
Lu 0.0000 0.7553 0.7500
Lu 0.0003 0.2545 0.9158
Na 0.2986 0.2608 0.0863
Na 0.7014 0.2608 0.4137
Na 0.2986 0.7392 0.5863
Na 0.7014 0.7392 0.9137
O 0.1537 0.4927 0.0070
O 0.8695 0.0379 0.0191
O 0.8773 0.4212 0.1467
O 0.1579 0.0081 0.1590
O 0.8693 0.9278 0.1839
O 0.1362 0.5374 0.1866
O 0.8638 0.5374 0.3134
O 0.1307 0.9278 0.3161
O 0.8421 0.0081 0.3410
O 0.1227 0.4212 0.3533
O 0.1305 0.0379 0.4809
O 0.8463 0.4927 0.4930
O 0.1537 0.5073 0.5070
O 0.8695 0.9621 0.5191
O 0.8773 0.5788 0.6467
O 0.1579 0.9919 0.6590
O 0.8693 0.0722 0.6839
O 0.1362 0.4626 0.6866
O 0.8638 0.4626 0.8134
O 0.1307 0.0722 0.8161
O 0.8421 0.9919 0.8410
O 0.1227 0.5788 0.8533
O 0.1305 0.9621 0.9809
O 0.8463 0.5073 0.9930
Te 0.7499 0.2849 0.0665
Te 0.2537 0.7904 0.2335
Te 0.7463 0.7904 0.2665
Te 0.2501 0.2849 0.4335
Te 0.7499 0.7151 0.5665
Te 0.2537 0.2096 0.7335
Te 0.7463 0.2096 0.7665
Te 0.2501 0.7151 0.9335
CELL_PARAMETERS angstrom
9.1084 0.0000 0.0076
0.0000 5.4880 0.0000
-0.0489 0.0000 16.5234
! Symmetry ... P2/c, No. 13
! E ... -5.7838 eV/atom

***

Entry 10:
! Ga5Pt, relaxed, DFT PBE; values from VASP
&SYSTEM
  ibrav = 0, nat = 48, ntyp = 2
/
ATOMIC_SPECIES
Ga 69.72 Ga.upf
Pt 195.08 Pt.upf
ATOMIC_POSITIONS crystal
Ga 0.0975 0.0694 0.0252
Ga 0.0975 0.4306 0.0252
Ga 0.6828 0.7500 0.0624
Ga 0.3099 0.6657 0.0792
Ga 0.3099 0.8343 0.0792
Ga 0.5579 0.0603 0.1375
Ga 0.5579 0.4397 0.1375
Ga 0.3219 0.2500 0.2224
Ga 0.9267 0.1683 0.2261
Ga 0.9267 0.3317 0.2261
Ga 0.0761 0.6679 0.2642
Ga 0.0761 0.8321 0.2642
Ga 0.0007 0.0007 0.3569
Ga 0.0007 0.4993 0.3569
Ga 0.4476 0.5570 0.3601
Ga 0.4476 0.9430 0.3601
Ga 0.7021 0.1648 0.4266
Ga 0.7021 0.3352 0.4266
Ga 0.7817 0.6707 0.4459
Ga 0.7817 0.8293 0.4459
Ga 0.2183 0.1707 0.5541
Ga 0.2183 0.3293 0.5541
Ga 0.2979 0.6648 0.5734
Ga 0.2979 0.8352 0.5734
Ga 0.5524 0.0570 0.6399
Ga 0.5524 0.4430 0.6399
Ga 0.9994 0.5007 0.6431
Ga 0.9994 0.9993 0.6431
Ga 0.9240 0.1679 0.7358
Ga 0.9240 0.3321 0.7358
Ga 0.0733 0.6683 0.7739
Ga 0.0733 0.8317 0.7739
Ga 0.6781 0.7500 0.7776
Ga 0.4421 0.5603 0.8625
Ga 0.4421 0.9397 0.8625
Ga 0.6901 0.1657 0.9208
Ga 0.6901 0.3343 0.9208
Ga 0.3172 0.2500 0.9376
Ga 0.9025 0.5694 0.9748
Ga 0.9025 0.9306 0.9748
Pt 0.6911 0.5947 0.1712
Pt 0.6911 0.9053 0.1712
Pt 0.3152 0.0956 0.3273
Pt 0.3152 0.4044 0.3273
Pt 0.6848 0.5956 0.6727
Pt 0.6848 0.9044 0.6727
Pt 0.3089 0.0947 0.8288
Pt 0.3089 0.4053 0.8288
CELL_PARAMETERS angstrom
6.4492 0.0000 -0.0060
0.0000 15.9919 0.0000
-3.0819 0.0000 8.3755
! Symmetry ... P2_1/m, No. 11
! E ... -3.8504 eV/atom

***

Entry 11:
! MgZrTlNi, relaxed, DFT PBE; values from VASP
&SYSTEM
  ibrav = 0, nat = 4, ntyp = 4
/
ATOMIC_SPECIES
Mg 24.30 Mg.upf
Ni 58.69 Ni.upf
Tl 204.38 Tl.upf
Zr 91.22 Zr.upf
ATOMIC_POSITIONS crystal
Mg 0.2500 0.2500 0.2500
Ni 0.7500 0.7500 0.7500
Tl 0.0000 0.0000 0.0000
Zr 0.5000 0.5000 0.5000
CELL_PARAMETERS angstrom
0.0000 3.3117 3.3117
3.3117 0.0000 3.3117
3.3117 3.3117 0.0000
! Symmetry ... F-43m, No. 216
! E ... -4.4955 eV/atom

***

Entry 12:
! KPOsO, relaxed, DFT PBE; values from VASP
&SYSTEM
  ibrav = 0, nat = 8, ntyp = 4
/
ATOMIC_SPECIES
K 39.10 K.upf
O 16.00 O.upf
Os 190.23 Os.upf
P 30.97 P.upf
ATOMIC_POSITIONS crystal
K 0.0000 0.6243 0.4060
K 0.0000 0.3757 0.9060
O 0.5000 0.8432 0.3788
O 0.5000 0.1568 0.8788
Os 0.5000 0.9448 0.0659
Os 0.5000 0.0552 0.5659
P 0.0000 0.1871 0.4033
P 0.0000 0.8129 0.9033
CELL_PARAMETERS angstrom
3.5833 0.0000 0.0000
0.0000 7.6976 0.0000
0.0000 0.0000 5.8094
! Symmetry ... Pmc2_1, No. 26
! E ... -6.1876 eV/atom

***

Entry 13:
! TlAgSnSe3, relaxed, DFT PBE; values from VASP
&SYSTEM
  ibrav = 0, nat = 24, ntyp = 4
/
ATOMIC_SPECIES
Ag 107.87 Ag.upf
Se 78.96 Se.upf
Sn 118.71 Sn.upf
Tl 204.38 Tl.upf
ATOMIC_POSITIONS crystal
Ag 0.7464 0.2500 0.1397
Ag 0.2464 0.2500 0.3603
Ag 0.7536 0.7500 0.6397
Ag 0.2536 0.7500 0.8603
Se 0.1606 0.7500 0.0078
Se 0.5377 0.7500 0.1011
Se 0.2045 0.2500 0.2053
Se 0.7045 0.2500 0.2947
Se 0.0377 0.7500 0.3989
Se 0.6606 0.7500 0.4922
Se 0.3394 0.2500 0.5078
Se 0.9623 0.2500 0.6011
Se 0.2955 0.7500 0.7053
Se 0.7955 0.7500 0.7947
Se 0.4623 0.2500 0.8989
Se 0.8394 0.2500 0.9922
Sn 0.3390 0.2500 0.0583
Sn 0.8390 0.2500 0.4417
Sn 0.1610 0.7500 0.5583
Sn 0.6610 0.7500 0.9417
Tl 0.9784 0.7500 0.1888
Tl 0.4784 0.7500 0.3112
Tl 0.5216 0.2500 0.6888
Tl 0.0216 0.2500 0.8112
CELL_PARAMETERS angstrom
9.4316 0.0000 0.0000
0.0000 4.0864 0.0000
0.0000 0.0000 16.3389
! Symmetry ... Pnma, No. 62
! E ... -3.5510 eV/atom

***

Entry 14:
! CdAgSb, relaxed, DFT PBE; values from VASP
&SYSTEM
  ibrav = 0, nat = 9, ntyp = 3
/
ATOMIC_SPECIES
Ag 107.87 Ag.upf
Cd 112.41 Cd.upf
Sb 121.76 Sb.upf
ATOMIC_POSITIONS crystal
Ag 0.2571 0.0000 0.0000
Ag 0.0000 0.2571 0.0000
Ag 0.7429 0.7429 0.0000
Cd 0.5956 0.0000 0.5000
Cd 0.4044 0.4044 0.5000
Cd 0.0000 0.5956 0.5000
Sb 0.6667 0.3333 0.0000
Sb 0.3333 0.6667 0.0000
Sb 0.0000 0.0000 0.5000
CELL_PARAMETERS angstrom
7.5629 0.0000 0.0000
-3.7814 6.5496 0.0000
0.0000 0.0000 4.3204
! Symmetry ... P-62m, No. 189
! E ... -2.5460 eV/atom

***

Entry 15:
! KAgGeTeS2, relaxed, DFT PBE; values from VASP
&SYSTEM
  ibrav = 0, nat = 12, ntyp = 5
/
ATOMIC_SPECIES
Ag 107.87 Ag.upf
Ge 72.64 Ge.upf
K 39.10 K.upf
S 32.06 S.upf
Te 127.60 Te.upf
ATOMIC_POSITIONS crystal
Ag 0.4289 0.5711 0.2500
Ag 0.5711 0.4289 0.7500
Ge 0.0000 0.0000 0.0000
Ge 0.0000 0.0000 0.5000
K 0.7573 0.2427 0.2500
K 0.2427 0.7573 0.7500
S 0.3933 0.6067 0.0401
S 0.3933 0.6067 0.4599
S 0.6067 0.3933 0.5401
S 0.6067 0.3933 0.9599
Te 0.0706 0.9294 0.2500
Te 0.9294 0.0706 0.7500
CELL_PARAMETERS angstrom
-1.6365 3.9515 -7.0756
-1.2841 -2.0745 7.8996
6.4318 8.5617 3.2939
! Symmetry ... Cmcm, No. 63
! E ... -3.6107 eV/atom

***

Entry 16:
! SmLuSc, relaxed, DFT PBE; values from VASP
&SYSTEM
  ibrav = 0, nat = 3, ntyp = 3
/
ATOMIC_SPECIES
Lu 174.97 Lu.upf
Sc 44.96 Sc.upf
Sm 150.36 Sm.upf
ATOMIC_POSITIONS crystal
Lu 0.2500 0.2500 0.2500
Sc 0.0000 0.0000 0.0000
Sm 0.7500 0.7500 0.7500
CELL_PARAMETERS angstrom
-2.4581 1.3476 4.4252
-2.1779 4.7432 0.4463
-5.2148 0.4931 0.0536
! Symmetry ... F-43m, No. 216
! ΔH_f (0 K) ... 0.6917 eV/atom

***

Entry 17:
! Y2GaCo, relaxed, DFT PBE; values from VASP
&SYSTEM
  ibrav = 0, nat = 4, ntyp = 3
/
ATOMIC_SPECIES
Co 58.93 Co.upf
Ga 69.72 Ga.upf
Y 88.91 Y.upf
ATOMIC_POSITIONS crystal
Co 0.2500 0.2500 0.2500
Ga 0.5000 0.5000 0.5000
Y 0.0000 0.0000 0.0000
Y 0.7500 0.7500 0.7500
CELL_PARAMETERS angstrom
-1.5576 -4.0505 -1.9814
-3.1832 -2.7097 2.2986
-4.4814 -0.2993 -1.6082
! Symmetry ... F-43m, No. 216
! E ... -5.8418 eV/atom

***

Entry 18:
! CsAgPd, relaxed, DFT PBE; values from VASP
&SYSTEM
  ibrav = 0, nat = 3, ntyp = 3
/
ATOMIC_SPECIES
Ag 107.87 Ag.upf
Cs 132.91 Cs.upf
Pd 106.42 Pd.upf
ATOMIC_POSITIONS crystal
Ag 0.2500 0.2500 0.2500
Cs 0.0000 0.0000 0.0000
Pd 0.7500 0.7500 0.7500
CELL_PARAMETERS angstrom
0.0000 3.7703 3.7703
3.7703 0.0000 3.7703
3.7703 3.7703 0.0000
! Symmetry ... F-43m, No. 216
! E ... -2.0587 eV/atom

***

Entry 19:
! BeCdOsW, relaxed, DFT PBE; values from VASP
&SYSTEM
  ibrav = 0, nat = 4, ntyp = 4
/
ATOMIC_SPECIES
Be 9.01 Be.upf
Cd 112.41 Cd.upf
Os 190.23 Os.upf
W 183.84 W.upf
ATOMIC_POSITIONS crystal
Be 0.7500 0.7500 0.7500
Cd 0.2500 0.2500 0.2500
Os 0.0000 0.0000 0.0000
W 0.5000 0.5000 0.5000
CELL_PARAMETERS angstrom
-1.4078 -3.3820 -2.3594
-2.9288 0.6208 -3.1660
1.1881 -0.3896 -4.1741
! Symmetry ... F-43m, No. 216
! E ... -6.3316 eV/atom